No. 1
An optimized crystal structure of ReHC2Br, computed with PBE-GGA.

```
ReHC2Br
1.0
-2.971 0.041 -2.810
1.010 -2.607 -1.106
-2.452 -2.037 2.562
Br Re C H
1 1 2 1
Cartesian
0.000 0.000 0.000
-2.207 -2.301 -0.677
-1.226 -1.018 1.281
-1.486 0.021 -1.405
0.505 -1.304 -0.553
```

Properties
As for the density: 9.611 g/cm3. For the electronic total energy, the calculation gives -22.98 eV per cell. The value obtained for the density of states at the Fermi level is 2.480 states/eV/f.u.

=====

No. 2
An optimized crystal structure of ZnH5CSBr3, computed with PBE-GGA.

```
ZnH5CSBr3
1.0
8.410 0.243 0.149
0.725 7.292 0.273
-7.773 1.713 15.587
Br S H C Zn
12 4 20 4 4
Cartesian
5.159 1.257 2.435
1.550 2.002 3.954
-1.658 6.254 10.461
3.529 5.463 3.435
5.010 7.392 6.556
0.308 7.865 13.522
0.082 5.501 5.247
-2.921 2.731 10.835
3.002 3.743 7.226
1.094 3.475 10.836
-3.770 7.586 13.651
-1.374 4.218 14.073
-1.998 2.709 5.523
1.988 6.953 8.355
-4.919 3.878 13.537
6.030 5.451 0.683
2.251 5.603 8.012
-1.814 5.997 15.533
-6.490 3.637 15.305
-5.431 5.070 15.524
-4.826 2.478 13.456
8.240 4.646 1.254
-0.908 7.698 15.248
-0.548 2.772 7.464
3.781 6.672 9.954
-2.268 3.200 7.813
6.953 4.063 2.374
2.973 1.719 0.339
-1.004 1.934 4.999
7.538 5.760 2.495
2.634 8.008 10.384
3.124 7.345 7.605
2.148 6.292 10.625
-1.831 1.485 7.555
-3.537 4.027 13.757
-1.210 3.904 5.332
7.342 4.922 1.816
-5.459 4.006 15.265
2.733 6.983 10.006
-1.597 2.519 7.279
-1.763 7.887 12.298
4.304 7.727 4.281
2.135 4.198 5.032
-1.010 4.143 11.650
```

Properties
As for the density: 2.458 g/cm3. For the electronic total energy, the calculation gives -163.73 eV per cell. The value obtained for the density of states at the Fermi level is 0.000 states/eV/f.u.